1.
{
  "formula": "Ca3Pr12Ge5",
  "functional": "GGA-PBE",
  "state": "relaxed",
  "lattice_angstrom": [[-9.294, 9.294, 9.294], [9.294, -9.294, 9.294], [9.294, 9.294, -9.294]],
  "species": ["Ca", "Ca", "Ca", "Ca", "Ca", "Ca", "Ca", "Ca", "Ca", "Ca", "Ca", "Ca", "Pr", "Pr", "Pr", "Pr", "Pr", "Pr", "Pr", "Pr", "Pr", "Pr", "Pr", "Pr", "Pr", "Pr", "Pr", "Pr", "Pr", "Pr", "Pr", "Pr", "Pr", "Pr", "Pr", "Pr", "Pr", "Pr", "Pr", "Pr", "Pr", "Pr", "Pr", "Pr", "Pr", "Pr", "Pr", "Pr", "Pr", "Pr", "Pr", "Pr", "Pr", "Pr", "Pr", "Pr", "Pr", "Pr", "Pr", "Pr", "Ge", "Ge", "Ge", "Ge", "Ge", "Ge", "Ge", "Ge", "Ge", "Ge", "Ge", "Ge", "Ge", "Ge", "Ge", "Ge", "Ge", "Ge", "Ge", "Ge"],
  "frac_coords": [[0.125, 0.250, 0.375], [0.125, 0.375, 0.750], [0.250, 0.375, 0.125], [0.250, 0.875, 0.625], [0.375, 0.125, 0.250], [0.375, 0.750, 0.125], [0.625, 0.250, 0.875], [0.625, 0.875, 0.750], [0.750, 0.125, 0.375], [0.750, 0.625, 0.875], [0.875, 0.625, 0.250], [0.875, 0.750, 0.625], [0.026, 0.203, 0.105], [0.026, 0.322, 0.921], [0.079, 0.605, 0.401], [0.079, 0.974, 0.678], [0.099, 0.703, 0.678], [0.099, 0.895, 0.421], [0.105, 0.026, 0.203], [0.105, 0.579, 0.901], [0.178, 0.203, 0.599], [0.178, 0.474, 0.579], [0.203, 0.105, 0.026], [0.203, 0.599, 0.178], [0.297, 0.322, 0.901], [0.297, 0.474, 0.395], [0.322, 0.901, 0.297], [0.322, 0.921, 0.026], [0.395, 0.297, 0.474], [0.395, 0.599, 0.921], [0.401, 0.079, 0.605], [0.401, 0.822, 0.797], [0.421, 0.099, 0.895], [0.421, 0.822, 0.526], [0.474, 0.395, 0.297], [0.474, 0.579, 0.178], [0.526, 0.421, 0.822], [0.526, 0.605, 0.703], [0.579, 0.178, 0.474], [0.579, 0.901, 0.105], [0.599, 0.178, 0.203], [0.599, 0.921, 0.395], [0.605, 0.401, 0.079], [0.605, 0.703, 0.526], [0.678, 0.079, 0.974], [0.678, 0.099, 0.703], [0.703, 0.526, 0.605], [0.703, 0.678, 0.099], [0.797, 0.401, 0.822], [0.797, 0.895, 0.974], [0.822, 0.526, 0.421], [0.822, 0.797, 0.401], [0.895, 0.421, 0.099], [0.895, 0.974, 0.797], [0.901, 0.105, 0.579], [0.901, 0.297, 0.322], [0.921, 0.026, 0.322], [0.921, 0.395, 0.599], [0.974, 0.678, 0.079], [0.974, 0.797, 0.895], [0.000, 0.000, 0.000], [0.000, 0.000, 0.500], [0.000, 0.500, 0.000], [0.000, 0.500, 0.500], [0.125, 0.750, 0.875], [0.125, 0.875, 0.250], [0.250, 0.125, 0.875], [0.250, 0.625, 0.375], [0.375, 0.250, 0.625], [0.375, 0.625, 0.750], [0.500, 0.000, 0.000], [0.500, 0.000, 0.500], [0.500, 0.500, 0.000], [0.500, 0.500, 0.500], [0.625, 0.375, 0.250], [0.625, 0.750, 0.375], [0.750, 0.375, 0.625], [0.750, 0.875, 0.125], [0.875, 0.125, 0.750], [0.875, 0.250, 0.125]],
  "dos_at_fermi_per_ev_fu": 23.047,
  "mass_density_g_cm3": 4.498
}



2.
{
  "formula": "CaPr2Ge",
  "functional": "GGA-PBE",
  "state": "relaxed",
  "lattice_angstrom": [[2.093, 1.208, 9.962], [-2.093, 1.208, 9.962], [0.000, -2.416, 9.962]],
  "species": ["Ca", "Pr", "Pr", "Ge"],
  "frac_coords": [[0.000, 0.000, 0.000], [0.556, 0.556, 0.556], [0.775, 0.775, 0.775], [0.165, 0.165, 0.165]],
  "dos_at_fermi_per_ev_fu": 5.612,
  "de_polymorph_ev_per_atom": 0.008,
  "mass_density_g_cm3": 4.335
}



3.
{
  "formula": "CaPrGe",
  "functional": "GGA-PBE",
  "state": "relaxed",
  "lattice_angstrom": [[0.000, 3.598, 3.598], [3.598, 0.000, 3.598], [3.598, 3.598, 0.000]],
  "species": ["Ca", "Pr", "Ge"],
  "frac_coords": [[0.000, 0.000, 0.000], [0.500, 0.500, 0.500], [0.750, 0.750, 0.750]],
  "dos_at_fermi_per_ev_fu": 2.291,
  "mass_density_g_cm3": 4.522
}



4.
{
  "formula": "CaPr2Ge",
  "functional": "GGA-PBE",
  "state": "relaxed",
  "lattice_angstrom": [[2.062, 1.191, 10.993], [-2.062, 1.191, 10.993], [0.000, -2.381, 10.993]],
  "species": ["Ca", "Pr", "Pr", "Ge"],
  "frac_coords": [[0.000, 0.000, 0.000], [0.115, 0.115, 0.115], [0.885, 0.885, 0.885], [0.500, 0.500, 0.500]],
  "dos_at_fermi_per_ev_fu": 5.152,
  "de_polymorph_ev_per_atom": 0.125,
  "mass_density_g_cm3": 4.045
}



5.
{
  "formula": "Ca2Pr5Ge4",
  "functional": "GGA-PBE",
  "state": "relaxed",
  "lattice_angstrom": [[10.807, -2.123, 0.000], [10.807, 2.123, 0.000], [-2.115, 0.000, 7.402]],
  "species": ["Ca", "Ca", "Pr", "Pr", "Pr", "Pr", "Pr", "Ge", "Ge", "Ge", "Ge"],
  "frac_coords": [[0.069, 0.069, 0.110], [0.931, 0.931, 0.890], [0.000, 0.000, 0.500], [0.328, 0.328, 0.073], [0.332, 0.332, 0.541], [0.668, 0.668, 0.459], [0.672, 0.672, 0.927], [0.210, 0.210, 0.225], [0.476, 0.476, 0.205], [0.524, 0.524, 0.795], [0.790, 0.790, 0.775]],
  "dos_at_fermi_per_ev_fu": 9.260,
  "mass_density_g_cm3": 5.257
}



6.
{
  "formula": "CaPrGe2",
  "functional": "GGA-PBE",
  "state": "relaxed",
  "lattice_angstrom": [[4.880, 0.000, 0.000], [0.000, 4.880, 0.000], [0.000, 0.000, 4.152]],
  "species": ["Ca", "Pr", "Ge", "Ge"],
  "frac_coords": [[0.000, 0.000, 0.000], [0.500, 0.500, 0.000], [0.000, 0.500, 0.500], [0.500, 0.000, 0.500]],
  "dos_at_fermi_per_ev_fu": 2.355,
  "mass_density_g_cm3": 5.479
}



7.
{
  "formula": "Ca2Pr2Ge3",
  "functional": "GGA-PBE",
  "state": "relaxed",
  "lattice_angstrom": [[6.833, -2.154, 0.000], [6.833, 2.154, 0.000], [-3.408, 0.000, 6.778]],
  "species": ["Ca", "Ca", "Pr", "Pr", "Ge", "Ge", "Ge"],
  "frac_coords": [[0.107, 0.107, 0.261], [0.893, 0.893, 0.739], [0.160, 0.160, 0.769], [0.840, 0.840, 0.231], [0.417, 0.417, 0.045], [0.500, 0.500, 0.500], [0.583, 0.583, 0.955]],
  "dos_at_fermi_per_ev_fu": 5.155,
  "mass_density_g_cm3": 4.825
}



8.
{
  "formula": "CaPr3Ge4",
  "functional": "GGA-PBE",
  "state": "relaxed",
  "lattice_angstrom": [[-2.125, 3.223, 8.245], [2.125, -3.223, 8.245], [2.125, 3.223, -8.245]],
  "species": ["Ca", "Pr", "Pr", "Pr", "Ge", "Ge", "Ge", "Ge"],
  "frac_coords": [[0.000, 0.000, 0.000], [0.196, 0.696, 0.500], [0.500, 0.500, 0.000], [0.804, 0.304, 0.500], [0.179, 0.869, 0.310], [0.441, 0.131, 0.310], [0.559, 0.869, 0.690], [0.821, 0.131, 0.690]],
  "dos_at_fermi_per_ev_fu": 5.896,
  "mass_density_g_cm3": 5.539
}



9.
{
  "formula": "Ca3Pr2Ge4",
  "functional": "GGA-PBE",
  "state": "relaxed",
  "lattice_angstrom": [[8.045, 0.000, 0.000], [0.000, 8.047, 0.000], [-2.053, 0.000, 7.315]],
  "species": ["Ca", "Ca", "Ca", "Ca", "Ca", "Ca", "Pr", "Pr", "Pr", "Pr", "Ge", "Ge", "Ge", "Ge", "Ge", "Ge", "Ge", "Ge"],
  "frac_coords": [[0.000, 0.000, 0.000], [0.000, 0.500, 0.500], [0.257, 0.178, 0.749], [0.257, 0.322, 0.249], [0.743, 0.678, 0.751], [0.743, 0.822, 0.251], [0.301, 0.689, 0.914], [0.301, 0.811, 0.414], [0.699, 0.189, 0.586], [0.699, 0.311, 0.086], [0.012, 0.617, 0.120], [0.012, 0.883, 0.620], [0.422, 0.028, 0.129], [0.422, 0.472, 0.629], [0.578, 0.528, 0.371], [0.578, 0.972, 0.871], [0.988, 0.117, 0.380], [0.988, 0.383, 0.880]],
  "dos_at_fermi_per_ev_fu": 0.683,
  "mass_density_g_cm3": 4.857
}



10.
{
  "formula": "CaPrGe",
  "functional": "GGA-PBE",
  "state": "relaxed",
  "lattice_angstrom": [[4.291, 0.000, 0.000], [0.000, 5.078, 0.000], [-2.143, 0.000, 7.879]],
  "species": ["Ca", "Ca", "Pr", "Pr", "Ge", "Ge"],
  "frac_coords": [[0.070, 0.250, 0.130], [0.930, 0.750, 0.870], [0.224, 0.750, 0.449], [0.776, 0.250, 0.551], [0.407, 0.250, 0.813], [0.593, 0.750, 0.187]],
  "dos_at_fermi_per_ev_fu": 2.472,
  "mass_density_g_cm3": 4.907
}



11.
{
  "formula": "CaPrGe2Pt5",
  "functional": "GGA-PBE",
  "state": "relaxed",
  "lattice_angstrom": [[4.287, 0.000, 0.000], [0.000, 4.287, 0.000], [0.000, 0.000, 9.281]],
  "species": ["Ca", "Pr", "Ge", "Ge", "Pt", "Pt", "Pt", "Pt", "Pt"],
  "frac_coords": [[0.000, 0.000, 0.000], [0.000, 0.000, 0.500], [0.500, 0.500, 0.135], [0.500, 0.500, 0.865], [0.000, 0.500, 0.270], [0.000, 0.500, 0.730], [0.500, 0.000, 0.270], [0.500, 0.000, 0.730], [0.500, 0.500, 0.500]],
  "dos_at_fermi_per_ev_fu": 4.860,
  "mass_density_g_cm3": 12.671
}



12.
{
  "formula": "CaPrGeRh",
  "functional": "GGA-PBE",
  "state": "relaxed",
  "lattice_angstrom": [[3.959, 0.000, 0.000], [0.000, 2.212, 5.577], [0.000, -2.212, 5.577]],
  "species": ["Ca", "Pr", "Ge", "Rh"],
  "frac_coords": [[0.000, 0.000, 0.000], [0.500, 0.285, 0.285], [0.500, 0.578, 0.578], [0.000, 0.720, 0.720]],
  "dos_at_fermi_per_ev_fu": 2.896,
  "de_polymorph_ev_per_atom": 0.000,
  "mass_density_g_cm3": 6.061
}



13.
{
  "formula": "CaPrGeRh",
  "functional": "GGA-PBE",
  "state": "relaxed",
  "lattice_angstrom": [[0.000, 3.589, 3.589], [3.589, 0.000, 3.589], [3.589, 3.589, 0.000]],
  "species": ["Ca", "Pr", "Ge", "Rh"],
  "frac_coords": [[0.000, 0.000, 0.000], [0.500, 0.500, 0.500], [0.250, 0.250, 0.250], [0.750, 0.750, 0.750]],
  "dos_at_fermi_per_ev_fu": 2.355,
  "de_polymorph_ev_per_atom": 0.159,
  "mass_density_g_cm3": 6.401
}



14.
{
  "formula": "CaPrTlGe",
  "functional": "GGA-PBE",
  "state": "relaxed",
  "lattice_angstrom": [[0.000, 3.805, 3.805], [3.805, 0.000, 3.805], [3.805, 3.805, 0.000]],
  "species": ["Ca", "Pr", "Tl", "Ge"],
  "frac_coords": [[0.000, 0.000, 0.000], [0.500, 0.500, 0.500], [0.750, 0.750, 0.750], [0.250, 0.250, 0.250]],
  "dos_at_fermi_per_ev_fu": 1.801,
  "mass_density_g_cm3": 6.904
}



15.
{
  "formula": "CaPrZnGe",
  "functional": "GGA-PBE",
  "state": "relaxed",
  "lattice_angstrom": [[0.000, 3.675, 3.675], [3.675, 0.000, 3.675], [3.675, 3.675, 0.000]],
  "species": ["Ca", "Pr", "Zn", "Ge"],
  "frac_coords": [[0.000, 0.000, 0.000], [0.500, 0.500, 0.500], [0.250, 0.250, 0.250], [0.750, 0.750, 0.750]],
  "dos_at_fermi_per_ev_fu": 3.334,
  "mass_density_g_cm3": 5.337
}



16.
{
  "formula": "Ca2PrZn2Ge2",
  "functional": "GGA-PBE",
  "state": "relaxed",
  "lattice_angstrom": [[2.124, 1.226, 11.752], [-2.124, 1.226, 11.752], [0.000, -2.453, 11.752]],
  "species": ["Ca", "Ca", "Pr", "Zn", "Zn", "Ge", "Ge"],
  "frac_coords": [[0.120, 0.120, 0.120], [0.880, 0.880, 0.880], [0.000, 0.000, 0.000], [0.393, 0.393, 0.393], [0.607, 0.607, 0.607], [0.273, 0.273, 0.273], [0.727, 0.727, 0.727]],
  "dos_at_fermi_per_ev_fu": 4.692,
  "mass_density_g_cm3": 4.495
}



17.
{
  "formula": "CaGePt",
  "functional": "GGA-PBE",
  "state": "relaxed",
  "lattice_angstrom": [[4.309, 0.000, 0.000], [-2.154, 3.731, 0.000], [0.000, 0.000, 4.016]],
  "species": ["Ca", "Ge", "Pt"],
  "frac_coords": [[0.000, 0.000, 0.000], [0.667, 0.333, 0.500], [0.333, 0.667, 0.500]],
  "dos_at_fermi_per_ev_fu": 0.972,
  "mass_density_g_cm3": 7.916
}



18.
{
  "formula": "CaGe12Pt4",
  "functional": "GGA-PBE",
  "state": "relaxed",
  "lattice_angstrom": [[-4.369, 4.369, 4.369], [4.369, -4.369, 4.369], [4.369, 4.369, -4.369]],
  "species": ["Ca", "Ge", "Ge", "Ge", "Ge", "Ge", "Ge", "Ge", "Ge", "Ge", "Ge", "Ge", "Ge", "Pt", "Pt", "Pt", "Pt"],
  "frac_coords": [[0.000, 0.000, 0.000], [0.150, 0.503, 0.354], [0.150, 0.796, 0.646], [0.204, 0.354, 0.850], [0.354, 0.150, 0.503], [0.354, 0.850, 0.204], [0.497, 0.646, 0.850], [0.503, 0.354, 0.150], [0.646, 0.150, 0.796], [0.646, 0.850, 0.497], [0.796, 0.646, 0.150], [0.850, 0.204, 0.354], [0.850, 0.497, 0.646], [0.000, 0.000, 0.500], [0.000, 0.500, 0.000], [0.500, 0.000, 0.000], [0.500, 0.500, 0.500]],
  "dos_at_fermi_per_ev_fu": 10.610,
  "mass_density_g_cm3": 8.425
}



19.
{
  "formula": "CaGe2Pt",
  "functional": "GGA-PBE",
  "state": "relaxed",
  "lattice_angstrom": [[-2.284, 2.284, 8.783], [2.284, -2.284, 8.783], [2.284, 2.284, -8.783]],
  "species": ["Ca", "Ca", "Ge", "Ge", "Ge", "Ge", "Pt", "Pt"],
  "frac_coords": [[0.000, 0.000, 0.000], [0.750, 0.250, 0.500], [0.246, 0.625, 0.121], [0.375, 0.496, 0.621], [0.504, 0.125, 0.879], [0.875, 0.754, 0.379], [0.250, 0.750, 0.500], [0.500, 0.500, 0.000]],
  "dos_at_fermi_per_ev_fu": 1.840,
  "mass_density_g_cm3": 6.896
}



20.
{
  "formula": "Ca3Ge3Pt2",
  "functional": "GGA-PBE",
  "state": "relaxed",
  "lattice_angstrom": [[2.202, -5.335, 0.000], [2.202, 5.335, 0.000], [0.000, 0.000, 14.623]],
  "species": ["Ca", "Ca", "Ca", "Ca", "Ca", "Ca", "Ge", "Ge", "Ge", "Ge", "Ge", "Ge", "Pt", "Pt", "Pt", "Pt"],
  "frac_coords": [[0.085, 0.915, 0.612], [0.085, 0.915, 0.888], [0.367, 0.633, 0.750], [0.633, 0.367, 0.250], [0.915, 0.085, 0.112], [0.915, 0.085, 0.388], [0.334, 0.666, 0.250], [0.375, 0.625, 0.535], [0.375, 0.625, 0.965], [0.625, 0.375, 0.035], [0.625, 0.375, 0.465], [0.666, 0.334, 0.750], [0.204, 0.796, 0.100], [0.204, 0.796, 0.400], [0.796, 0.204, 0.600], [0.796, 0.204, 0.900]],
  "dos_at_fermi_per_ev_fu": 4.417,
  "de_polymorph_ev_per_atom": 0.000,
  "mass_density_g_cm3": 7.040
}



21.
{
  "formula": "Ca2GePt",
  "functional": "GGA-PBE",
  "state": "relaxed",
  "lattice_angstrom": [[5.580, 0.000, 0.000], [0.000, 4.412, 0.000], [-2.009, 0.000, 8.154]],
  "species": ["Ca", "Ca", "Ca", "Ca", "Ge", "Ge", "Pt", "Pt"],
  "frac_coords": [[0.205, 0.250, 0.425], [0.275, 0.750, 0.070], [0.725, 0.250, 0.930], [0.795, 0.750, 0.575], [0.345, 0.750, 0.722], [0.655, 0.250, 0.278], [0.170, 0.250, 0.777], [0.830, 0.750, 0.223]],
  "dos_at_fermi_per_ev_fu": 1.614,
  "mass_density_g_cm3": 5.754
}



Short version: calculated total energy = -4.22, -4.32, -4.34, -4.20, -4.67, -4.57, -4.47, -4.99, -4.53, -4.21, -5.97, -5.36, -5.20, -3.88, -3.64, -3.44, -5.10, -5.14, -4.73, -4.85, -4.47 eV per atom, in the order given.